No. 1
HfV3H | GGA-PBE | optimized geometry

a b c (Å): 4.0248 4.0248 4.0248
angles (deg): 90.00 90.00 90.00
Last column: nearest neighbours and their distance in Å.
Fractional coordinates of all 5 atoms:
V 0.5000 0.0000 0.0000  2 H 2.01
V 0.0000 0.0000 0.5000  2 H 2.01
V 0.0000 0.5000 0.0000  2 H 2.01
Hf 0.5000 0.5000 0.5000  12 V 2.85
H 0.0000 0.0000 0.0000  6 V 2.01

- D(E_F) (states/eV/atom) = 1.472
- VASP energy (eV per cell) = -39.893
- total magnetization (μB/atom) = 0.000
- space-group type = No. 221



No. 2
HfV2H8 | GGA-PBE | optimized geometry

a b c (Å): 3.3109 4.8236 4.8236
angles (deg): 113.20 93.32 93.32
Last column: nearest neighbours and their distance in Å.
Fractional coordinates of all 11 atoms:
H 0.9465 0.6948 0.9622  2 V 1.80-1.81, 1 H 1.82
H 0.5000 0.2493 0.7507  2 V 1.77
H 0.0535 0.0378 0.3052  2 V 1.80-1.81, 1 H 1.82
H 0.0535 0.3052 0.0378  2 V 1.80-1.81, 1 H 1.82
H 0.5000 0.7507 0.2493  2 V 1.77
H 0.9465 0.9622 0.6948  2 V 1.80-1.81, 1 H 1.82
H 0.3086 0.6172 0.6172  2 V 1.80, 1 H 1.87
H 0.6914 0.3828 0.3828  2 V 1.80, 1 H 1.87
Hf 0.5000 0.0000 0.0000  12 H 2.01-2.24
V 0.0000 0.3275 0.6725  8 H 1.77-1.81
V 0.0000 0.6725 0.3275  8 H 1.77-1.81

- D(E_F) (states/eV/atom) = 0.349
- VASP energy (eV per cell) = -56.448
- total magnetization (μB/atom) = 0.000
- space-group type = No. 12



No. 3
Hf2VH4 | GGA-PBE | optimized geometry

a b c (Å): 3.4069 3.4069 6.0267
angles (deg): 73.58 73.58 90.00
Last column: nearest neighbours and their distance in Å.
Fractional coordinates of all 7 atoms:
H 0.1619 0.1619 0.6761  1 V 1.79, 1 Hf 2.00
H 0.0000 0.5000 0.0000  2 V 1.70
H 0.8381 0.8381 0.3239  1 V 1.79, 1 Hf 2.00
H 0.5000 0.0000 0.0000  2 V 1.70
V 0.0000 0.0000 0.0000  6 H 1.70-1.79
Hf 0.3430 0.3430 0.3140  1 H 2.00
Hf 0.6570 0.6570 0.6860  1 H 2.00

- D(E_F) (states/eV/atom) = 0.387
- VASP energy (eV per cell) = -44.110
- total magnetization (μB/atom) = 0.000
- space-group type = No. 139



No. 4
HfVH3 | GGA-PBE | optimized geometry

a b c (Å): 4.4816 6.3145 7.4671
angles (deg): 125.32 90.00 90.00
Last column: nearest neighbours and their distance in Å.
Fractional coordinates of all 20 atoms:
H 0.1240 0.6314 0.4602  2 V 1.74-1.83
H 0.9721 0.2909 0.9297  1 V 1.87, 3 Hf 2.00-2.05
H 0.0279 0.7091 0.0703  1 V 1.87, 3 Hf 2.00-2.05
H 0.3760 0.1314 0.9602  2 V 1.74-1.83
H 0.6240 0.8686 0.0398  2 V 1.74-1.83
H 0.9597 0.8928 0.8023  3 V 1.85-1.87, 1 Hf 2.05
H 0.5279 0.7909 0.4297  1 V 1.87, 3 Hf 2.00-2.05
H 0.4597 0.6072 0.6977  3 V 1.85-1.87, 1 Hf 2.05
H 0.4721 0.2091 0.5703  1 V 1.87, 3 Hf 2.00-2.05
H 0.8760 0.3686 0.5398  2 V 1.74-1.83
H 0.0403 0.1072 0.1977  3 V 1.85-1.87, 1 Hf 2.05
H 0.5403 0.3928 0.3023  3 V 1.85-1.87, 1 Hf 2.05
Hf 0.2348 0.0263 0.6694  6 H 1.97-2.10
Hf 0.7348 0.4737 0.8306  6 H 1.97-2.10
Hf 0.7652 0.9737 0.3306  6 H 1.97-2.10
Hf 0.2652 0.5263 0.1694  6 H 1.97-2.10
V 0.7421 0.1513 0.0477  6 H 1.74-1.87
V 0.2421 0.3487 0.4523  6 H 1.74-1.87
V 0.2579 0.8487 0.9523  6 H 1.74-1.87
V 0.7579 0.6513 0.5477  6 H 1.74-1.87

- D(E_F) (states/eV/atom) = 0.276
- VASP energy (eV per cell) = -121.669
- total magnetization (μB/atom) = 0.000
- space-group type = No. 14



No. 5
HfVH3 | GGA-PBE | optimized geometry

a b c (Å): 3.4430 3.4430 3.4430
angles (deg): 90.00 90.00 90.00
Last column: nearest neighbours and their distance in Å.
Fractional coordinates of all 5 atoms:
V 0.0000 0.0000 0.0000  6 H 1.72
H 0.5000 0.0000 0.0000  2 V 1.72
H 0.0000 0.0000 0.5000  2 V 1.72
H 0.0000 0.5000 0.0000  2 V 1.72
Hf 0.5000 0.5000 0.5000  12 H 2.43

- D(E_F) (states/eV/atom) = 0.255
- VASP energy (eV per cell) = -30.118
- total magnetization (μB/atom) = 0.000
- space-group type = No. 221



No. 6
HfVH2 | GGA-PBE | optimized geometry

a b c (Å): 4.1212 4.1212 5.6784
angles (deg): 68.72 68.72 90.00
Last column: nearest neighbours and their distance in Å.
Fractional coordinates of all 8 atoms:
V 0.2500 0.7500 0.5000  4 H 1.80
V 0.5000 0.5000 0.0000  4 H 1.80
H 0.3750 0.4211 0.7500  2 V 1.80, 2 Hf 2.01
H 0.5789 0.1250 0.2500  2 V 1.80, 2 Hf 2.01
H 0.8750 0.8289 0.7500  2 V 1.80, 2 Hf 2.01
H 0.1711 0.6250 0.2500  2 V 1.80, 2 Hf 2.01
Hf 0.7500 0.2500 0.5000  4 H 2.01
Hf 0.0000 0.0000 0.0000  4 H 2.01

- D(E_F) (states/eV/atom) = 0.720
- VASP energy (eV per cell) = -52.921
- total magnetization (μB/atom) = 0.000
- space-group type = No. 122



No. 7
Hf3VH6 | GGA-PBE | optimized geometry

a b c (Å): 5.7220 5.7220 5.7220
angles (deg): 89.94 89.94 89.94
Last column: nearest neighbours and their distance in Å.
Fractional coordinates of all 20 atoms:
H 0.1314 0.9864 0.7095  1 V 1.83, 2 Hf 2.00-2.03
H 0.2132 0.5138 0.3682  1 V 1.81, 1 Hf 1.99
H 0.8686 0.0136 0.2905  1 V 1.83, 2 Hf 2.00-2.03
H 0.7868 0.4862 0.6318  1 V 1.81, 1 Hf 1.99
H 0.3682 0.2132 0.5138  1 V 1.81, 1 Hf 1.99
H 0.0136 0.2905 0.8686  1 V 1.83, 2 Hf 2.00-2.03
H 0.7095 0.1314 0.9864  1 V 1.83, 2 Hf 2.00-2.03
H 0.5138 0.3682 0.2132  1 V 1.81, 1 Hf 1.99
H 0.6318 0.7868 0.4862  1 V 1.81, 1 Hf 1.99
H 0.4862 0.6318 0.7868  1 V 1.81, 1 Hf 1.99
H 0.2905 0.8686 0.0136  1 V 1.83, 2 Hf 2.00-2.03
H 0.9864 0.7095 0.1314  1 V 1.83, 2 Hf 2.00-2.03
Hf 0.9919 0.7504 0.4940  6 H 1.99-2.09
Hf 0.5060 0.0081 0.2496  6 H 1.99-2.09
Hf 0.7504 0.4940 0.9919  6 H 1.99-2.09
Hf 0.4940 0.9919 0.7504  6 H 1.99-2.09
Hf 0.2496 0.5060 0.0081  6 H 1.99-2.09
Hf 0.0081 0.2496 0.5060  6 H 1.99-2.09
V 0.0000 0.0000 0.0000  6 H 1.83
V 0.5000 0.5000 0.5000  6 H 1.81

- D(E_F) (states/eV/atom) = 0.438
- VASP energy (eV per cell) = -125.005
- total magnetization (μB/atom) = 0.000
- space-group type = No. 148



No. 8
HfV2H3 | GGA-PBE | optimized geometry

a b c (Å): 3.0170 5.3809 7.5653
angles (deg): 100.91 101.50 90.00
Last column: nearest neighbours and their distance in Å.
Fractional coordinates of all 12 atoms:
V 0.6869 0.3722 0.3738  4 H 1.80-1.84
V 0.0497 0.2682 0.0994  4 H 1.80-1.85
V 0.3131 0.6278 0.6262  4 H 1.80-1.84
V 0.9503 0.7318 0.9006  4 H 1.80-1.85
H 0.2441 0.3050 0.4882  3 V 1.80-1.84, 1 Hf 2.00
H 0.0622 0.9359 0.1245  2 V 1.80-1.83
H 0.7559 0.6950 0.5118  3 V 1.80-1.84, 1 Hf 2.00
H 0.5755 0.4692 0.1511  3 V 1.83-1.85
H 0.9378 0.0641 0.8755  2 V 1.80-1.83
H 0.4245 0.5308 0.8489  3 V 1.83-1.85
Hf 0.3565 0.1521 0.7131  4 H 2.00-2.09
Hf 0.6435 0.8479 0.2869  4 H 2.00-2.09

- D(E_F) (states/eV/atom) = 0.644
- VASP energy (eV per cell) = -76.942
- total magnetization (μB/atom) = 0.000
- space-group type = No. 12



No. 9
HfVH3 | GGA-PBE | optimized geometry

a b c (Å): 3.6551 3.6551 3.6551
angles (deg): 90.00 90.00 90.00
Last column: nearest neighbours and their distance in Å.
Fractional coordinates of all 5 atoms:
H 0.0000 0.0000 0.5000  2 Hf 1.83
H 0.5000 0.0000 0.0000  2 Hf 1.83
H 0.0000 0.5000 0.0000  2 Hf 1.83
V 0.5000 0.5000 0.5000  12 H 2.58
Hf 0.0000 0.0000 0.0000  6 H 1.83

- D(E_F) (states/eV/atom) = 0.397
- VASP energy (eV per cell) = -27.981
- total magnetization (μB/atom) = 0.360
- space-group type = No. 221



No. 10
Hf3V5H12 | GGA-PBE | optimized geometry

a b c (Å): 9.4782 9.4782 9.4782
angles (deg): 109.47 109.47 109.47
Last column: nearest neighbours and their distance in Å.
Fractional coordinates of all 80 atoms:
H 0.7863 0.3355 0.9181  2 V 1.78
H 0.5819 0.7137 0.6645  2 V 1.78
H 0.1645 0.0825 0.9507  2 V 1.78
H 0.0493 0.6318 0.7137  2 V 1.78
H 0.1645 0.0819 0.7137  2 V 1.78
H 0.4507 0.7863 0.8682  2 V 1.78
H 0.6318 0.5825 0.9181  2 V 1.78
H 0.2137 0.5493 0.6318  2 V 1.78
H 0.9181 0.0825 0.6318  2 V 1.78
H 0.0493 0.4175 0.8355  2 V 1.78
H 0.9507 0.3682 0.2863  2 V 1.78
H 0.2863 0.8682 0.9507  2 V 1.78
H 0.0819 0.9175 0.3682  2 V 1.78
H 0.8682 0.5819 0.9175  2 V 1.78
H 0.9507 0.5825 0.1645  2 V 1.78
H 0.0819 0.1645 0.2137  2 V 1.78
H 0.9175 0.8355 0.5493  2 V 1.78
H 0.5493 0.3355 0.9175  2 V 1.78
H 0.0825 0.1645 0.4507  2 V 1.78
H 0.3355 0.5493 0.4175  2 V 1.78
H 0.7137 0.5819 0.1645  2 V 1.78
H 0.4507 0.6645 0.0825  2 V 1.78
H 0.8355 0.9181 0.2863  2 V 1.78
H 0.0825 0.9181 0.1318  2 V 1.78
H 0.1318 0.7137 0.5493  2 V 1.78
H 0.1318 0.4181 0.0825  2 V 1.78
H 0.5825 0.6318 0.4181  2 V 1.78
H 0.6645 0.4507 0.5825  2 V 1.78
H 0.6645 0.2137 0.5819  2 V 1.78
H 0.8355 0.9175 0.0493  2 V 1.78
H 0.7863 0.4507 0.3682  2 V 1.78
H 0.2137 0.6645 0.0819  2 V 1.78
H 0.4181 0.1318 0.5825  2 V 1.78
H 0.2863 0.4181 0.8355  2 V 1.78
H 0.5819 0.8682 0.4175  2 V 1.78
H 0.4175 0.0493 0.3355  2 V 1.78
H 0.9175 0.0819 0.8682  2 V 1.78
H 0.3682 0.4175 0.0819  2 V 1.78
H 0.5493 0.2137 0.1318  2 V 1.78
H 0.4175 0.3682 0.5819  2 V 1.78
H 0.7137 0.1318 0.0493  2 V 1.78
H 0.8682 0.2863 0.4507  2 V 1.78
H 0.6318 0.0493 0.2137  2 V 1.78
H 0.5825 0.9507 0.6645  2 V 1.78
H 0.3355 0.7863 0.4181  2 V 1.78
H 0.4181 0.2863 0.3355  2 V 1.78
H 0.3682 0.9507 0.7863  2 V 1.78
H 0.9181 0.8355 0.7863  2 V 1.78
V 0.3750 0.1250 0.7500  4 H 1.78
V 0.3750 0.2500 0.1250  4 H 1.78
V 0.2500 0.8750 0.1250  4 H 1.78
V 0.0000 0.0000 0.0000  6 H 1.78
V 0.0000 0.0000 0.5000  6 H 1.78
V 0.6250 0.7500 0.8750  4 H 1.78
V 0.5000 0.0000 0.0000  6 H 1.78
V 0.5000 0.5000 0.0000  6 H 1.78
V 0.5000 0.0000 0.5000  6 H 1.78
V 0.1250 0.3750 0.2500  4 H 1.78
V 0.6250 0.8750 0.2500  4 H 1.78
V 0.7500 0.6250 0.3750  4 H 1.78
V 0.8750 0.2500 0.6250  4 H 1.78
V 0.0000 0.5000 0.0000  6 H 1.78
V 0.0000 0.5000 0.5000  6 H 1.78
V 0.7500 0.1250 0.8750  4 H 1.78
V 0.8750 0.6250 0.7500  4 H 1.78
V 0.5000 0.5000 0.5000  6 H 1.78
V 0.2500 0.3750 0.6250  4 H 1.78
V 0.1250 0.7500 0.3750  4 H 1.78
Hf 0.8750 0.1250 0.2500  8 H 2.04
Hf 0.3750 0.7500 0.6250  8 H 2.04
Hf 0.8750 0.7500 0.1250  8 H 2.04
Hf 0.1250 0.2500 0.8750  8 H 2.04
Hf 0.7500 0.3750 0.1250  8 H 2.04
Hf 0.2500 0.6250 0.8750  8 H 2.04
Hf 0.2500 0.1250 0.3750  8 H 2.04
Hf 0.7500 0.8750 0.6250  8 H 2.04
Hf 0.6250 0.3750 0.7500  8 H 2.04
Hf 0.3750 0.6250 0.2500  8 H 2.04
Hf 0.1250 0.8750 0.7500  8 H 2.04
Hf 0.6250 0.2500 0.3750  8 H 2.04

- D(E_F) (states/eV/atom) = 0.334
- VASP energy (eV per cell) = -485.135
- total magnetization (μB/atom) = 0.000
- space-group type = No. 230



No. 11
Hf2VH4 | GGA-PBE | optimized geometry

a b c (Å): 5.8749 5.8749 5.8713
angles (deg): 120.00 120.00 90.03
Last column: nearest neighbours and their distance in Å.
Fractional coordinates of all 14 atoms:
H 0.8651 0.6218 0.2435  1 V 1.85, 3 Hf 2.05
H 0.3849 0.1282 0.2565  1 V 1.85, 3 Hf 2.05
H 0.3783 0.6216 0.7565  1 V 1.85, 3 Hf 2.05
H 0.8718 0.6150 0.7434  1 V 1.85, 3 Hf 2.05
H 0.8716 0.1283 0.2566  1 V 1.85, 3 Hf 2.05
H 0.3784 0.6217 0.2435  1 V 1.85, 3 Hf 2.05
H 0.3782 0.1350 0.7566  1 V 1.85, 3 Hf 2.05
H 0.8717 0.1284 0.7435  1 V 1.85, 3 Hf 2.05
Hf 0.1250 0.3750 0.7500  6 H 2.05
Hf 0.6250 0.3750 0.2500  6 H 2.05
Hf 0.6250 0.8750 0.2500  6 H 2.05
Hf 0.6250 0.3750 0.7500  6 H 2.05
V 0.2500 0.7500 0.5000  4 H 1.85
V 0.0000 0.0000 0.0000  4 H 1.85

- D(E_F) (states/eV/atom) = 0.429
- VASP energy (eV per cell) = -86.503
- total magnetization (μB/atom) = 0.101
- space-group type = No. 141



No. 12
HfVH2 | GGA-PBE | optimized geometry

a b c (Å): 3.5059 5.9237 4.8673
angles (deg): 145.20 136.09 53.71
Last column: nearest neighbours and their distance in Å.
Fractional coordinates of all 4 atoms:
Hf 0.3744 0.1337 0.9994  4 H 2.03-2.04
H 0.1995 0.1343 0.5007  2 V 1.80
H 0.0519 0.6336 0.4997  2 V 1.80
V 0.3741 0.6344 0.0001  4 H 1.80

- D(E_F) (states/eV/atom) = 0.566
- VASP energy (eV per cell) = -26.814
- total magnetization (μB/atom) = 0.000
- space-group type = No. 115